# 1
La3Pm5Pb2 | GGA-PBE | relaxed

## Properties
Crystal system ... orthorhombic
Energy of formation from the pure elements ... -62 meV per atom
Total energy ... -93.1 eV/cell

a = 10.8633 Å, b = 10.8633 Å, c = 10.8633 Å
α = 105.17°, β = 85.85°, γ = 144.16°
Last column: nearest neighbours and their distance in Å.
Element x y z (fractional)
1 La 0.2283 0.1295 0.3578  4 Pm 3.42-3.82, 4 Pb 3.57-3.76
2 La 0.2500 0.2500 0.0000  2 La 3.34, 2 Pm 3.35, 4 Pb 3.44
3 La 0.2717 0.6295 0.9012  4 Pm 3.42-3.82, 4 Pb 3.57-3.76
4 La 0.7283 0.3705 0.0988  4 Pm 3.42-3.82, 4 Pb 3.57-3.76
5 La 0.7500 0.7500 0.0000  2 La 3.34, 2 Pm 3.35, 4 Pb 3.44
6 La 0.7717 0.8705 0.6422  4 Pm 3.42-3.82, 4 Pb 3.57-3.76
7 Pm 0.1608 0.4075 0.5683  1 Pb 3.08, 2 Pm 3.29, 1 La 3.42
8 Pm 0.2500 0.5035 0.2535  3 Pm 3.25-3.34, 2 Pb 3.28, 1 La 3.35
9 Pm 0.2500 0.7500 0.5000  8 Pm 3.25-3.34
10 Pm 0.2500 0.9965 0.7465  3 Pm 3.25-3.34, 2 Pb 3.28, 1 La 3.35
11 Pm 0.3392 0.9075 0.2467  1 Pb 3.08, 2 Pm 3.29, 1 La 3.42
12 Pm 0.6608 0.0925 0.7533  1 Pb 3.08, 2 Pm 3.29, 1 La 3.42
13 Pm 0.7500 0.0035 0.2535  3 Pm 3.25-3.34, 2 Pb 3.28, 1 La 3.35
14 Pm 0.7500 0.2500 0.5000  8 Pm 3.25-3.34
15 Pm 0.7500 0.4965 0.7465  3 Pm 3.25-3.34, 2 Pb 3.28, 1 La 3.35
16 Pm 0.8392 0.5925 0.4317  1 Pb 3.08, 2 Pm 3.29, 1 La 3.42
17 Pb 0.1497 0.8608 0.0105  3 Pm 3.08-3.28, 2 La 3.44
18 Pb 0.3503 0.3608 0.7111  3 Pm 3.08-3.28, 2 La 3.44
19 Pb 0.6497 0.6392 0.2889  3 Pm 3.08-3.28, 2 La 3.44
20 Pb 0.8503 0.1392 0.9895  3 Pm 3.08-3.28, 2 La 3.44

# 2
LaPmPb6 | GGA-PBE | relaxed

## Properties
Crystal system ... tetragonal
Energy of formation from the pure elements ... -404 meV per atom
Total energy ... -35.2 eV/cell

a = 4.9441 Å, b = 4.9441 Å, c = 9.8616 Å
α = 90.00°, β = 90.00°, γ = 90.00°
Last column: nearest neighbours and their distance in Å.
Element x y z (fractional)
1 La 0.0000 0.0000 0.0000  12 Pb 3.50-3.51
2 Pm 0.0000 0.0000 0.5000  12 Pb 3.47-3.50
3 Pb 0.0000 0.5000 0.2528  8 Pb 3.47-3.51, 2 Pm 3.47, 2 La 3.51
4 Pb 0.0000 0.5000 0.7472  8 Pb 3.47-3.51, 2 Pm 3.47, 2 La 3.51
5 Pb 0.5000 0.0000 0.2528  8 Pb 3.47-3.51, 2 Pm 3.47, 2 La 3.51
6 Pb 0.5000 0.0000 0.7472  8 Pb 3.47-3.51, 2 Pm 3.47, 2 La 3.51
7 Pb 0.5000 0.5000 0.0000  4 La 3.50, 8 Pb 3.51
8 Pb 0.5000 0.5000 0.5000  8 Pb 3.47, 4 Pm 3.50

# 3
La3PmPb | GGA-PBE | relaxed

## Properties
Crystal system ... orthorhombic
Energy of formation from the pure elements ... 191 meV per atom
Total energy ... -44.6 eV/cell

a = 8.9641 Å, b = 8.9641 Å, c = 5.4551 Å
α = 90.00°, β = 90.00°, γ = 124.15°
Last column: nearest neighbours and their distance in Å.
Element x y z (fractional)
1 La 0.0000 0.5000 0.5000  2 Pm 3.28
2 La 0.1530 0.8470 0.0000  2 Pm 2.90
3 La 0.3221 0.3221 0.5000  1 La 2.99, 2 Pm 3.07
4 La 0.5000 0.0000 0.5000  2 Pm 3.28
5 La 0.6779 0.6779 0.5000  1 La 2.99, 2 Pm 3.07
6 La 0.8470 0.1530 0.0000  2 Pm 2.90
7 Pm 0.0912 0.9088 0.5000  1 Pm 2.89, 4 La 2.90-3.07
8 Pm 0.9088 0.0912 0.5000  1 Pm 2.89, 4 La 2.90-3.07
9 Pb 0.3665 0.6335 0.0000  5 La 3.38-3.76
10 Pb 0.6335 0.3665 0.0000  5 La 3.38-3.76

# 4
LaPm8Pb2 | GGA-PBE | relaxed

## Properties
Crystal system ... monoclinic
Energy of formation from the pure elements ... -106 meV per atom
Total energy ... -51.5 eV/cell

a = 8.9989 Å, b = 8.9989 Å, c = 6.5616 Å
α = 95.55°, β = 95.55°, γ = 44.99°
Last column: nearest neighbours and their distance in Å.
Element x y z (fractional)
1 La 0.0000 0.0000 0.0000  10 Pm 3.48-3.86
2 Pm 0.1606 0.6436 0.5913  2 Pb 3.23-3.34, 3 Pm 3.33-3.58, 1 La 3.48
3 Pm 0.2144 0.2144 0.8253  4 Pb 3.25-3.63, 1 Pm 3.63
4 Pm 0.3564 0.8394 0.4087  2 Pb 3.23-3.34, 3 Pm 3.33-3.58, 1 La 3.48
5 Pm 0.4156 0.4156 0.0987  1 Pb 3.21, 1 Pm 3.21
6 Pm 0.5844 0.5844 0.9013  1 Pb 3.21, 1 Pm 3.21
7 Pm 0.6436 0.1606 0.5913  2 Pb 3.23-3.34, 3 Pm 3.33-3.58, 1 La 3.48
8 Pm 0.7856 0.7856 0.1747  4 Pb 3.25-3.63, 1 Pm 3.63
9 Pm 0.8394 0.3564 0.4087  2 Pb 3.23-3.34, 3 Pm 3.33-3.58, 1 La 3.48
10 Pb 0.2529 0.2529 0.3211  7 Pm 3.21-3.43
11 Pb 0.7471 0.7471 0.6789  7 Pm 3.21-3.43

# 5
LaPm7Pb4 | GGA-PBE | relaxed

## Properties
Crystal system ... monoclinic
Energy of formation from the pure elements ... -168 meV per atom
Total energy ... -55.0 eV/cell

a = 7.5559 Å, b = 7.5559 Å, c = 11.5002 Å
α = 120.48°, β = 120.48°, γ = 46.33°
Last column: nearest neighbours and their distance in Å.
Element x y z (fractional)
1 La 0.0000 0.0000 0.0000  2 Pm 2.97
2 Pm 0.0490 0.0490 0.3707  1 Pm 3.18, 3 Pb 3.28-3.38
3 Pm 0.2107 0.2107 0.8905  2 Pm 3.18-3.49, 4 Pb 3.26-3.37
4 Pm 0.3298 0.3298 0.4157  4 Pb 3.10-3.31
5 Pm 0.5000 0.5000 0.0000  2 La 2.97, 4 Pb 3.21-3.30
6 Pm 0.6702 0.6702 0.5843  4 Pb 3.10-3.31
7 Pm 0.7893 0.7893 0.1095  2 Pm 3.18-3.49, 4 Pb 3.26-3.37
8 Pm 0.9510 0.9510 0.6293  1 Pm 3.18, 3 Pb 3.28-3.38
9 Pb 0.2947 0.2947 0.6756  6 Pm 3.21-3.31, 1 Pb 3.42
10 Pb 0.4236 0.4236 0.2257  7 Pm 3.10-3.38, 1 Pb 3.42
11 Pb 0.5764 0.5764 0.7743  7 Pm 3.10-3.38, 1 Pb 3.42
12 Pb 0.7053 0.7053 0.3244  6 Pm 3.21-3.31, 1 Pb 3.42

# 6
La3Pm2Pb4 | GGA-PBE | relaxed

## Properties
Crystal system ... monoclinic
Offset from the most stable computed form ... 0.00 kJ/mol of atoms
Energy of formation from the pure elements ... -528 meV per atom
Total energy ... -43.9 eV/cell

a = 8.8847 Å, b = 8.8847 Å, c = 7.1070 Å
α = 103.69°, β = 103.69°, γ = 33.91°
Last column: nearest neighbours and their distance in Å.
Element x y z (fractional)
1 La 0.0000 0.0000 0.0000  4 Pb 3.29
2 La 0.1196 0.1196 0.5733  7 Pb 3.34-3.63
3 La 0.8804 0.8804 0.4267  7 Pb 3.34-3.63
4 Pm 0.3362 0.3362 0.9217  5 Pb 3.12-3.39
5 Pm 0.6638 0.6638 0.0783  5 Pb 3.12-3.39
6 Pb 0.2459 0.2459 0.2797  3 Pm 3.12-3.28, 3 La 3.34-3.44
7 Pb 0.4955 0.4955 0.7130  1 Pb 3.07, 2 La 3.29, 2 Pm 3.35-3.39
8 Pb 0.5045 0.5045 0.2870  1 Pb 3.07, 2 La 3.29, 2 Pm 3.35-3.39
9 Pb 0.7541 0.7541 0.7203  3 Pm 3.12-3.28, 3 La 3.34-3.44